[1]
Density functional theory data (GGA-PBE) for a geometry-optimized Pm6PrYTm2 structure. Values from VASP.

```
&SYSTEM
  ibrav = 0, nat = 20, ntyp = 4
/
ATOMIC_SPECIES
Pm 145.00 Pm.upf
Pr 140.91 Pr.upf
Y 88.91 Y.upf
Tm 168.93 Tm.upf
ATOMIC_POSITIONS angstrom
Pm 4.765 4.176 0.049
Pm 3.865 6.273 3.123
Pm -1.695 0.901 10.918
Pm -0.795 -1.195 7.844
Pm 2.773 -1.988 7.248
Pm 0.122 -2.556 4.471
Pm 0.296 7.066 3.720
Pm 2.948 7.634 6.496
Pm 3.679 -0.926 4.307
Pm 0.820 0.575 5.022
Pm -0.610 6.004 6.661
Pm 2.250 4.502 5.945
Pr 3.213 2.344 3.228
Pr -0.143 2.734 7.739
Y 0.492 -4.769 7.283
Y 2.577 9.847 3.684
Tm 3.549 1.556 6.731
Tm 1.496 -0.479 1.784
Tm -0.479 3.522 4.236
Tm 1.573 5.557 9.183
CELL_PARAMETERS angstrom
-4.911 5.490 6.336
1.584 -6.500 5.903
6.397 6.087 -1.272
```

Computed properties:
Volume in A^3/atom: 33.9
E_form in kJ/mol of formula units: 111

[2]
Density functional theory data (GGA-PBE) for a geometry-optimized Rb2AgSn2 structure. Values from VASP.

```
&SYSTEM
  ibrav = 0, nat = 10, ntyp = 3
/
ATOMIC_SPECIES
Rb 85.47 Rb.upf
Sn 118.71 Sn.upf
Ag 107.87 Ag.upf
ATOMIC_POSITIONS angstrom
Rb -0.653 0.762 8.103
Rb -5.761 0.318 10.150
Rb -7.844 0.828 5.063
Rb -2.736 1.272 3.016
Sn -2.298 -1.319 10.522
Sn -8.334 -1.295 8.235
Sn -6.061 -0.506 2.246
Sn -0.026 -0.530 4.533
Ag 0.000 0.000 0.000
Ag -4.180 -0.912 6.384
CELL_PARAMETERS angstrom
-10.621 -0.683 2.199
2.262 -1.141 10.569
-0.137 3.414 0.398
```

Computed properties:
Energy relative to the lowest polymorph listed for this composition in eV per atom: 0.3234
Volume in A^3/atom: 40.6
E_form in kJ/mol of formula units: 89

[3]
Density functional theory data (GGA-PBE) for a geometry-optimized Na3Cd3Hg8 structure. Values from VASP.

```
&SYSTEM
  ibrav = 0, nat = 14, ntyp = 3
/
ATOMIC_SPECIES
Na 22.99 Na.upf
Cd 112.41 Cd.upf
Hg 200.59 Hg.upf
ATOMIC_POSITIONS angstrom
Na -0.534 -5.751 -6.501
Na -1.525 -2.092 -5.277
Na 0.456 -9.410 -7.725
Cd -1.156 0.407 -2.152
Cd 3.682 -4.862 -5.747
Cd -2.439 -7.454 -2.950
Hg -3.742 -4.940 -4.625
Hg 2.673 -6.562 -8.377
Hg 1.619 -2.670 -7.075
Hg -2.688 -8.832 -5.927
Hg 0.052 -6.706 -9.847
Hg -1.121 -4.796 -3.155
Hg -2.413 -7.750 -8.720
Hg 1.344 -3.752 -4.281
CELL_PARAMETERS angstrom
-2.312 0.814 -4.305
5.069 -4.274 -6.381
-3.826 -8.042 -2.316
```

Computed properties:
Volume in A^3/atom: 26.5
E_form in kJ/mol of formula units: -182

[4]
Density functional theory data (GGA-PBE) for a geometry-optimized MgReSb2 structure. Values from VASP.

```
&SYSTEM
  ibrav = 0, nat = 4, ntyp = 3
/
ATOMIC_SPECIES
Mg 24.30 Mg.upf
Re 186.21 Re.upf
Sb 121.76 Sb.upf
ATOMIC_POSITIONS angstrom
Mg 1.827 0.000 2.164
Re 0.000 2.590 2.164
Sb 0.000 0.000 0.000
Sb 1.827 2.590 0.000
CELL_PARAMETERS angstrom
3.655 0.000 0.000
0.000 5.181 0.000
0.000 0.000 4.327
```

Computed properties:
Volume in A^3/atom: 20.5
Uncorrected formation energy in eV/atom: 0.583

[5]
Density functional theory data (GGA-PBE) for a geometry-optimized Nd3MgHg structure. Values from VASP.

```
&SYSTEM
  ibrav = 0, nat = 10, ntyp = 3
/
ATOMIC_SPECIES
Nd 144.24 Nd.upf
Mg 24.30 Mg.upf
Hg 200.59 Hg.upf
ATOMIC_POSITIONS angstrom
Nd 4.043 1.346 2.261
Nd 2.293 1.346 9.917
Nd 3.175 1.346 6.057
Nd 1.433 4.037 1.578
Nd 4.941 4.037 10.436
Nd 0.551 4.037 5.438
Mg 2.730 4.037 8.006
Mg 0.996 1.346 3.489
Hg 3.612 4.037 4.146
Hg 5.372 1.346 8.551
CELL_PARAMETERS angstrom
5.258 0.000 1.202
0.000 5.383 0.000
0.317 0.000 10.716
```

Computed properties:
Energy relative to the lowest polymorph listed for this composition in eV per atom: 0.0000
Volume in A^3/atom: 30.1
E_form in kJ/mol of formula units: -100

Number 1: total DFT energy (no corrections) -4.75 eV per atom. Number 2: total DFT energy (no corrections) -2.37 eV per atom. Number 3: total DFT energy (no corrections) -0.79 eV per atom. Number 4: total DFT energy (no corrections) -4.99 eV per atom. Number 5: total DFT energy (no corrections) -3.45 eV per atom.